1.
VASP calculation (PBE) on a relaxed structure of P2RuAu.

For the density of states at the Fermi level, the calculation gives 8.12 states/eV/cell. The value obtained for the formation energy is -0.033 eV per atom. The value obtained for the total energy is -5.88 eV per atom. As for the polymorph energy (0 for the lowest one): 56.2 meV/atom. As for the calculated volume: 317.67 Å³ per cell.

It has space group I-42d (No. 122), with a = 5.572 Å, b = 5.572 Å, c = 10.231 Å, α = 90.00°, β = 90.00° and γ = 90.00°. Symmetry generates all atoms from P at (0.217, 0.250, 0.125), Ru at (0.000, 0.000, 0.000) and Au at (0.000, 0.000, 0.500).


2.
VASP calculation (PBE) on a relaxed structure of PRuAu3.

For the density of states at the Fermi level, the calculation gives 2.44 states/eV/cell. The value obtained for the formation energy is 0.807 eV per atom. The value obtained for the total energy is -4.10 eV per atom. As for the polymorph energy (0 for the lowest one): 0.0 meV/atom. As for the calculated volume: 100.05 Å³ per cell.

It has space group Pm-3m (No. 221), with a = 4.642 Å, b = 4.642 Å, c = 4.642 Å, α = 90.00°, β = 90.00° and γ = 90.00°. Symmetry generates all atoms from P at (0.000, 0.000, 0.000), Ru at (0.500, 0.500, 0.500) and Au at (0.000, 0.000, 0.500).


3.
VASP calculation (PBE) on a relaxed structure of P2RuAu.

For the density of states at the Fermi level, the calculation gives 2.94 states/eV/cell. The value obtained for the formation energy is 0.411 eV per atom. The value obtained for the total energy is -5.43 eV per atom. As for the polymorph energy (0 for the lowest one): 500.4 meV/atom. As for the calculated volume: 119.08 Å³ per cell.

It has space group I-4m2 (No. 119), with a = 3.702 Å, b = 3.702 Å, c = 8.688 Å, α = 90.00°, β = 90.00° and γ = 90.00°. Symmetry generates all atoms from P at (0.000, 0.000, 0.000), P at (0.000, 0.500, 0.250), Ru at (0.000, 0.000, 0.500) and Au at (0.000, 0.500, 0.750).